1.
The following is a GGA-PBE calculation of a relaxed Li2CdHg4 crystal, from Alexandria. Values from VASP.

Cell and atoms, written as Quantum ESPRESSO input:
```
&SYSTEM
  ibrav = 0, nat = 7, ntyp = 3
/
ATOMIC_SPECIES
Li 6.94 Li.upf
Cd 112.41 Cd.upf
Hg 200.59 Hg.upf
CELL_PARAMETERS angstrom
2.437 1.407 7.310
-2.437 1.407 7.310
0.000 -2.814 7.310
ATOMIC_POSITIONS angstrom
Li 0.000 0.000 5.088
Li 0.000 0.000 16.841
Cd 0.000 0.000 10.964
Hg 0.000 0.000 2.187
Hg 0.000 0.000 7.954
Hg 0.000 0.000 13.975
Hg 0.000 0.000 19.742
```

- Space-group type: R-3m, No. 166
- Crystal system: trigonal
- ΔE_f: -0.2007 eV per atom
- D(E_F): 1.40 states/eV per cell
- Energy above the most stable polymorph in this dataset: 0.00 kcal/mol of atoms


2.
The following is a GGA-PBE calculation of a relaxed K3RbI crystal, from Alexandria. Values from VASP.

Cell and atoms, written as Quantum ESPRESSO input:
```
&SYSTEM
  ibrav = 0, nat = 5, ntyp = 3
/
ATOMIC_SPECIES
K 39.10 K.upf
Rb 85.47 Rb.upf
I 126.90 I.upf
CELL_PARAMETERS angstrom
7.762 0.000 0.000
0.000 7.762 0.000
0.000 0.000 7.762
ATOMIC_POSITIONS angstrom
K 0.000 0.000 3.881
K 0.000 3.881 0.000
K 3.881 0.000 0.000
Rb 0.000 0.000 0.000
I 3.881 3.881 3.881
```

- Space-group type: Pm-3m, No. 221
- Crystal system: cubic
- D(E_F): 7.79 states/eV per cell
- Energy above the most stable polymorph in this dataset: 11.19 kcal/mol of atoms


3.
The following is a GGA-PBE calculation of a relaxed Ba3Tb2CeTe6 crystal, from Alexandria. Values from VASP.

Cell and atoms, written as Quantum ESPRESSO input:
```
&SYSTEM
  ibrav = 0, nat = 12, ntyp = 4
/
ATOMIC_SPECIES
Ba 137.33 Ba.upf
Tb 158.93 Tb.upf
Ce 140.12 Ce.upf
Te 127.60 Te.upf
CELL_PARAMETERS angstrom
4.011 -6.934 0.000
4.011 6.934 0.000
-2.667 0.000 7.850
ATOMIC_POSITIONS angstrom
Ba 0.000 0.000 0.000
Ba 4.011 2.273 0.000
Ba 4.011 -2.273 0.000
Tb 2.677 4.606 3.925
Tb 2.677 -4.606 3.925
Ce 2.677 0.000 3.925
Te 1.309 2.359 2.198
Te -0.052 0.000 5.622
Te 1.309 -2.359 2.198
Te 4.046 2.359 5.652
Te 5.407 0.000 2.228
Te 4.046 -2.359 5.652
```

- Space-group type: C2/m, No. 12
- Crystal system: monoclinic
- D(E_F): 12.34 states/eV per cell
- E_tot: -58.11 eV per cell


> Which value of D(E_F) does entry 3 give?

12.34 states/eV per cell


> The lowest D(E_F) belongs to which entry?

Li2CdHg4


> Which formula does entry 2 have?

K3RbI